A geometry-optimized SrCoW3 structure, computed with PBE.

## Properties
spin magnetization	0.00	μB per atom
total DFT energy (no corrections)	-5.55	eV per atom
offset from the most stable computed form	2496	meV/atom
calculated volume	103.5	Å³/cell

abc: 4.695 4.695 4.695
angles: 90.00 90.00 90.00
Sites, in units of the cell vectors:
Sr 0.000 0.000 0.000
Co 0.500 0.500 0.500
W 0.000 0.000 0.500
W 0.000 0.500 0.000
W 0.500 0.000 0.000

***

A geometry-optimized PaTl2HgCl6 structure, computed with PBE.

## Properties
spin magnetization	0.10	μB per atom
total DFT energy (no corrections)	-3.94	eV per atom
calculated volume	405.8	Å³/cell

abc: 8.690 8.690 8.690
angles: 54.62 54.62 54.62
Sites, in units of the cell vectors:
Pa 0.000 0.000 0.000
Tl 0.189 0.189 0.189
Tl 0.658 0.658 0.658
Hg 0.494 0.494 0.494
Cl 0.022 0.834 0.360
Cl 0.194 0.642 0.963
Cl 0.360 0.022 0.834
Cl 0.642 0.963 0.194
Cl 0.834 0.360 0.022
Cl 0.963 0.194 0.642

***

A geometry-optimized Ca3ScP structure, computed with PBE.

## Properties
spin magnetization	0.00	μB per atom
total DFT energy (no corrections)	-3.78	eV per atom
offset from the most stable computed form	0	meV/atom
calculated volume	169.8	Å³/cell

abc: 5.538 5.538 5.538
angles: 90.00 90.00 90.00
Sites, in units of the cell vectors:
Ca 0.000 0.000 0.500
Ca 0.000 0.500 0.000
Ca 0.500 0.000 0.000
Sc 0.500 0.500 0.500
P 0.000 0.000 0.000

***

A geometry-optimized Pm5OsPd4 structure, computed with PBE.

## Properties
spin magnetization	0.00	μB per atom
total DFT energy (no corrections)	-6.20	eV per atom
calculated volume	229.1	Å³/cell

abc: 3.527 3.527 18.414
angles: 90.00 90.00 90.00
Sites, in units of the cell vectors:
Pm 0.000 0.000 0.000
Pm 0.000 0.000 0.202
Pm 0.000 0.000 0.406
Pm 0.000 0.000 0.594
Pm 0.000 0.000 0.798
Os 0.500 0.500 0.500
Pd 0.500 0.500 0.100
Pd 0.500 0.500 0.298
Pd 0.500 0.500 0.702
Pd 0.500 0.500 0.900